Density functional theory data (PBE) for a geometry-optimized LiSc5 structure. Values from VASP.

Structure (Quantum ESPRESSO input):
```
&SYSTEM
  ibrav = 0, nat = 6, ntyp = 2
/
ATOMIC_SPECIES
Li 6.94 Li.upf
Sc 44.96 Sc.upf
CELL_PARAMETERS angstrom
5.645 0.000 0.000
-2.823 4.889 0.000
0.000 0.000 5.171
ATOMIC_POSITIONS angstrom
Li 0.000 0.000 0.000
Sc -1.898 3.288 2.586
Sc 0.924 1.601 2.586
Sc 0.000 3.259 0.000
Sc 2.823 1.630 0.000
Sc 3.796 0.000 2.586
```

Properties
ΔH_f (0 K) = 135 meV per atom
E_tot = -5.46 eV/atom
distance to the lowest polymorph of the same formula = 55 meV/atom
crystal system = hexagonal